Density functional theory data (GGA+U) for an optimized crystal structure of CrTe3F.

Properties
E   -3.20 eV per atom
Crystal system   cubic
N(E_F)   1.122 states/eV/atom
Polymorph energy (0 for the lowest one)   0 meV per atom

Cell: 5.040 5.040 5.040 Å, 90.00 90.00 90.00°
Last column: magnetic moment on the atom in μB.
Fractional positions:
Cr (0.000, 0.000, 0.000)  -0.33
Te (0.000, 0.500, 0.000)  0.03
Te (0.000, 0.000, 0.500)  0.03
Te (0.500, 0.000, 0.000)  -0.01
F (0.500, 0.500, 0.500)  -0.05